P | Gd2ErTe | PBE | optimized geometry

The structure belongs to space group R-3m (No. 166, hexagonal axes); the cell edges are 3.8032, 3.8032 and 32.3425 Å and the angles 90.00°, 90.00° and 120.00°. The distinct sites, in fractional coordinates, are Gd at (0.0000, 0.0000, 0.1007), Er at (0.0000, 0.0000, 0.0000) and Te at (0.0000, 0.0000, 0.5000).

Its volume is 33.76 A^3/atom.

---

Q | Gd2ErTe | PBE | optimized geometry

The structure belongs to space group P4/mmm (No. 123); the cell edges are 3.920, 3.920 and 7.744 Å and the angles 90.00°, 90.00° and 90.00°. The distinct sites, in fractional coordinates, are Gd at (0.000, 0.000, 0.226), Er at (0.500, 0.500, 0.500) and Te at (0.500, 0.500, 0.000).

Its volume is 29.74 A^3/atom.

---

Which of them is the most stable, and which is the least stable? Q and P, in that order.

---

P | GdEr2Te | PBE | optimized geometry

The structure belongs to space group R-3m (No. 166, hexagonal axes); the cell edges are 3.7954, 3.7954 and 31.9688 Å and the angles 90.00°, 90.00° and 120.00°. The distinct sites, in fractional coordinates, are Gd at (0.0000, 0.0000, 0.0000), Er at (0.0000, 0.0000, 0.1019) and Te at (0.0000, 0.0000, 0.5000).

Its volume is 33.23 A^3/atom.

---

Q | GdEr2Te | PBE | optimized geometry

The structure belongs to space group P4/mmm (No. 123); the cell edges are 3.846, 3.846 and 7.829 Å and the angles 90.00°, 90.00° and 90.00°. The distinct sites, in fractional coordinates, are Gd at (0.000, 0.000, 0.000), Er at (0.500, 0.500, 0.276) and Te at (0.000, 0.000, 0.500).

Its volume is 28.95 A^3/atom.

---

Which of them is the most stable, and which is the least stable? Q and P, in that order.